This record from the Alexandria database describes Sc2TlCd at its PBEsol-relaxed geometry. The functional is SCAN.

Output
E_tot   -132.59 eV per cell
DFT formation energy   -0.335 eV per atom

abc: 5.9785 5.9785 4.8854
angles: 113.97 113.97 33.84
Positions (direct):
Sc (0.0000, 0.0000, 0.0000)
Sc (0.2418, 0.2418, 0.7386)
Tl (0.4817, 0.4817, 0.4823)
Cd (0.7502, 0.7502, 0.2462)